[1]
Material: Sm4Tm4In
Method: DFT, PBE-GGA
State: optimized geometry

Unit cell a=10.6134 b=10.6134 c=4.9047 alpha=90.00 beta=90.00 gamma=90.00
Space group I4/mmm (No. 139)
Unique sites:
Sm  0.1619  0.1619  0.0000 [8 per cell]
Tm  0.0000  0.3360  0.5000 [8 per cell]
In  0.0000  0.0000  0.5000 [2 per cell]

Calculated volume = 30.7 A^3/atom
ΔE_f = -0.62 eV per formula unit
Size of the total moment = 0.001 μB per cell


[2]
Material: SmTmIn2
Method: DFT, PBE-GGA
State: optimized geometry

Unit cell a=3.7710 b=3.7710 c=7.5561 alpha=90.00 beta=90.00 gamma=90.00
Space group P4/mmm (No. 123)
Unique sites:
Sm  0.0000  0.0000  0.0000 [1 per cell]
Tm  0.0000  0.0000  0.5000 [1 per cell]
In  0.5000  0.5000  0.2619 [2 per cell]

Calculated volume = 26.9 A^3/atom
ΔE_f = -1.84 eV per formula unit
Size of the total moment = 0.000 μB per cell


[3]
Material: Sm6TmIn4
Method: DFT, PBE-GGA
State: optimized geometry

Unit cell a=7.8285 b=7.8285 c=11.9714 alpha=90.00 beta=90.00 gamma=90.00
Space group I-42m (No. 121)
Unique sites:
Sm  0.0000  0.5000  0.0000 [4 per cell]
Sm  0.1891  0.1891  0.2831 [8 per cell]
Tm  0.0000  0.0000  0.0000 [2 per cell]
In  0.1628  0.1628  0.5669 [8 per cell]

Calculated volume = 33.3 A^3/atom
ΔE_f = -1.20 eV per formula unit
Size of the total moment = 0.004 μB per cell


Which of these has the highest calculated volume? Sm6TmIn4


Among the records above, which one has the highest ΔE_f? Sm4Tm4In